A geometry-optimized Mg2Co structure. Source: the Alexandria database, functional PBE.

Computed properties:
- V (Å³/f.u.) = 50
- crystal system = hexagonal
- VASP energy (eV/cell) = -19.4
- DFT formation energy (eV/atom) = 0.1957
- magnetization (μB per cell) = 2.096
- DOS at the Fermi energy (states/eV per cell) = 5.4

Cell and atoms, written as POSCAR:
```
Mg2Co
1.0
4.542 0.000 0.000
-2.271 3.933 0.000
0.000 0.000 5.562
Mg Co
4 2
Cartesian
0.000 0.000 0.000
0.000 0.000 2.781
0.000 2.622 1.390
2.271 1.311 4.171
0.000 2.622 4.171
2.271 1.311 1.390
```